(1)
Below is a relaxed Tl2WSe crystal, with properties calculated at the PBE level.

formation energy (no corrections): 928 meV per atom
V: 21.7 Å³ per atom

abc: 5.069 5.069 3.377
angles: 90.00 90.00 90.00
Space group P4/mmm (No. 123)
Inequivalent atoms, fractional coordinates:
1 Tl 0.000 0.500 0.000 (multiplicity 2)
2 W 0.000 0.000 0.500 (multiplicity 1)
3 Se 0.500 0.500 0.500 (multiplicity 1)



(2)
Below is a relaxed TlW2Se crystal, with properties calculated at the PBE level.

formation energy (no corrections): 820 meV per atom
V: 19.7 Å³ per atom

abc: 3.198 4.812 10.247
angles: 90.00 90.00 90.00
Space group Imm2 (No. 44)
Inequivalent atoms, fractional coordinates:
1 Tl 0.000 0.000 0.000 (multiplicity 2)
2 W 0.000 0.000 0.497 (multiplicity 2)
3 W 0.000 0.500 0.806 (multiplicity 2)
4 Se 0.000 0.500 0.218 (multiplicity 2)



(3)
Below is a relaxed Tl2WSe crystal, with properties calculated at the PBE level.

formation energy (no corrections): 930 meV per atom
V: 22.2 Å³ per atom

abc: 3.200 5.161 5.366
angles: 90.00 90.00 90.00
Space group Pmmm (No. 47)
Inequivalent atoms, fractional coordinates:
1 Tl 0.000 0.000 0.000 (multiplicity 1)
2 Tl 0.500 0.500 0.000 (multiplicity 1)
3 W 0.000 0.500 0.500 (multiplicity 1)
4 Se 0.500 0.000 0.500 (multiplicity 1)



(4)
Below is a relaxed TlWSe4 crystal, with properties calculated at the PBE level.

formation energy (no corrections): -208 meV per atom
V: 26.4 Å³ per atom

abc: 8.283 13.616 6.250
angles: 90.00 116.15 90.00
Space group C2/c (No. 15)
Inequivalent atoms, fractional coordinates:
1 Tl 0.000 0.137 0.250 (multiplicity 4)
2 W 0.000 0.500 0.250 (multiplicity 4)
3 Se 0.092 0.353 0.553 (multiplicity 8)
4 Se 0.247 0.071 0.853 (multiplicity 8)



(5)
Below is a relaxed Tl2WSe crystal, with properties calculated at the PBE level.

formation energy (no corrections): 441 meV per atom
V: 24.4 Å³ per atom

abc: 3.419 5.317 10.741
angles: 90.00 90.00 90.00
Space group Cmm2 (No. 35)
Inequivalent atoms, fractional coordinates:
1 Tl 0.000 0.000 0.000 (multiplicity 2)
2 Tl 0.000 0.500 0.280 (multiplicity 2)
3 W 0.000 0.000 0.513 (multiplicity 2)
4 Se 0.000 0.500 0.680 (multiplicity 2)



(6)
Below is a relaxed Tl2WSe crystal, with properties calculated at the PBE level.

formation energy (no corrections): 443 meV per atom
V: 23.8 Å³ per atom

abc: 10.959 3.199 5.770
angles: 90.00 109.81 90.00
Space group Cm (No. 8)
Inequivalent atoms, fractional coordinates:
1 Tl 0.000 0.000 0.000 (multiplicity 2)
2 Tl 0.186 0.000 0.630 (multiplicity 2)
3 W 0.248 0.500 0.102 (multiplicity 2)
4 Se 0.392 0.000 0.395 (multiplicity 2)



(7)
Below is a relaxed TlW2Se crystal, with properties calculated at the PBE level.

formation energy (no corrections): 493 meV per atom
V: 20.9 Å³ per atom

abc: 3.306 4.901 10.342
angles: 90.00 90.00 90.00
Space group Cmm2 (No. 35)
Inequivalent atoms, fractional coordinates:
1 Tl 0.000 0.000 0.000 (multiplicity 2)
2 W 0.000 0.000 0.456 (multiplicity 2)
3 W 0.000 0.500 0.262 (multiplicity 2)
4 Se 0.000 0.500 0.656 (multiplicity 2)



(8)
Below is a relaxed Tl2WSe crystal, with properties calculated at the PBE level.

formation energy (no corrections): 765 meV per atom
V: 23.8 Å³ per atom

abc: 3.431 5.593 4.955
angles: 90.00 91.96 90.00
Space group P2/m (No. 10)
Inequivalent atoms, fractional coordinates:
1 Tl 0.234 0.000 0.253 (multiplicity 2)
2 W 0.500 0.500 0.500 (multiplicity 1)
3 Se 0.500 0.500 0.000 (multiplicity 1)



Number 1: spin magnetization 0.0 μB per cell. Number 2: spin magnetization 0.0 μB per cell. Number 3: spin magnetization 0.8 μB per cell. Number 4: spin magnetization 0.0 μB per cell. Number 5: spin magnetization 0.0 μB per cell. Number 6: spin magnetization 0.0 μB per cell. Number 7: spin magnetization 0.0 μB per cell. Number 8: spin magnetization 0.0 μB per cell.